(1)
Below is a relaxed AcPmN crystal, with properties calculated at the PBE level.

Cell lengths 3.7362, 3.7362, 6.6908 Å; angles 90.00, 90.00, 120.00 degrees
Closest atoms and distances in Å follow each position.
Sites, in units of the cell vectors:
Ac 0.0000 0.0000 0.1070  3 N 2.73
N 0.6667 0.3333 0.3566  3 Pm 2.47, 3 Ac 2.73
Pm 0.3333 0.6667 0.5364  3 N 2.47

## Properties
Excess energy over the best structure of this formula in the dataset in meV per atom: 0
Formation energy (no corrections) in meV/atom: -747
Size of the total moment in μB per formula unit: 0.61
Electronic total energy in eV per atom: -6.4749

(2)
Below is a relaxed AcPmPr2N4 crystal, with properties calculated at the PBE level.

Cell lengths 3.7272, 6.4684, 6.4617 Å; angles 109.41, 90.00, 90.00 degrees
Closest atoms and distances in Å follow each position.
Sites, in units of the cell vectors:
Pm 0.5000 0.5000 0.0000  6 N 2.62
N 0.5000 0.7407 0.7443  3 Pr 2.60-2.66, 1 Pm 2.62, 2 Ac 2.68
N 0.5000 0.2593 0.2557  3 Pr 2.60-2.66, 1 Pm 2.62, 2 Ac 2.68
N 0.0000 0.2562 0.7497  3 Pr 2.60-2.65, 2 Pm 2.62, 1 Ac 2.67
N 0.0000 0.7438 0.2503  3 Pr 2.60-2.65, 2 Pm 2.62, 1 Ac 2.67
Pr 0.0000 0.5000 0.5000  6 N 2.60
Pr 0.5000 0.0000 0.5000  6 N 2.65-2.66
Ac 0.0000 0.0000 0.0000  6 N 2.67-2.68

## Properties
Formation energy (no corrections) in meV/atom: -1234
Size of the total moment in μB per formula unit: 0.00
Electronic total energy in eV per atom: -7.6990

(3)
Below is a relaxed Ac2PmPr3N6 crystal, with properties calculated at the PBE level.

Cell lengths 3.7430, 7.5137, 8.4469 Å; angles 102.81, 102.80, 90.00 degrees
Closest atoms and distances in Å follow each position.
Sites, in units of the cell vectors:
Ac 0.8346 0.6723 0.6692  6 N 2.66-2.80
Ac 0.1654 0.3277 0.3308  6 N 2.66-2.80
N 0.9979 0.2453 0.9958  3 Pr 2.53-2.67, 2 Pm 2.63, 1 Ac 2.69
N 0.0021 0.7547 0.0042  3 Pr 2.53-2.67, 2 Pm 2.63, 1 Ac 2.69
N 0.3399 0.4089 0.6797  3 Pr 2.57-2.61, 3 Ac 2.74-2.80
N 0.3422 0.9271 0.6844  1 Pm 2.53, 2 Pr 2.60, 2 Ac 2.66
N 0.6601 0.5911 0.3203  3 Pr 2.57-2.61, 3 Ac 2.74-2.80
N 0.6578 0.0729 0.3156  1 Pm 2.53, 2 Pr 2.60, 2 Ac 2.66
Pr 0.8404 0.1673 0.6809  5 N 2.53-2.61
Pr 0.1596 0.8327 0.3191  5 N 2.53-2.61
Pr 0.5000 0.5000 0.0000  6 N 2.57-2.67
Pm 0.5000 0.0000 0.0000  6 N 2.53-2.63

## Properties
Formation energy (no corrections) in meV/atom: -1210
Size of the total moment in μB per formula unit: 0.00
Electronic total energy in eV per atom: -7.6481